1.
First-principles (PBE) data for a geometry-optimized Nd2FeSi3Ni12 structure, as listed in the Alexandria database.

Calculated values
Fermi-level density of states	42.948	states/eV per cell
electronic total energy	-313.86	eV per cell
energy relative to the elements, uncorrected	-0.054	eV per atom

Cell and atoms, written as CIF:
```
data_Nd2FeSi3Ni12
_space_group_name_H-M_alt 'R -3 m'
_space_group_IT_number 166
_space_group_name_Hall '-R 3 2"'
_cell_length_a 8.4943
_cell_length_b 8.4943
_cell_length_c 11.8892
_cell_angle_alpha 90.00
_cell_angle_beta 90.00
_cell_angle_gamma 120.00
loop_
_atom_site_label
_atom_site_type_symbol
_atom_site_fract_x
_atom_site_fract_y
_atom_site_fract_z
Nd1 Nd 0.0000 0.0000 0.1547
Fe1 Fe 0.0000 0.0000 0.5000
Si1 Si 0.0000 0.5000 0.0000
Ni1 Ni 0.0140 0.5070 0.3904
Ni2 Ni 0.0162 0.5081 0.1936
```

=====

2.
First-principles (PBE) data for a geometry-optimized NdFeSi3Ni structure, as listed in the Alexandria database.

Calculated values
Fermi-level density of states	14.389	states/eV per cell
electronic total energy	-150.29	eV per cell
energy relative to the elements, uncorrected	-0.382	eV per atom

Cell and atoms, written as CIF:
```
data_NdFeSi3Ni
_space_group_name_H-M_alt 'C m c m'
_space_group_IT_number 63
_space_group_name_Hall '-C 2c 2'
_cell_length_a 6.051
_cell_length_b 11.850
_cell_length_c 5.675
_cell_angle_alpha 90.00
_cell_angle_beta 90.00
_cell_angle_gamma 90.00
loop_
_atom_site_label
_atom_site_type_symbol
_atom_site_fract_x
_atom_site_fract_y
_atom_site_fract_z
Nd1 Nd 0.000 0.241 0.250
Fe1 Fe 0.000 0.035 0.750
Si1 Si 0.000 0.212 0.750
Si2 Si 0.210 0.500 0.000
Ni1 Ni 0.000 0.391 0.750
```

=====

3.
First-principles (PBE) data for a geometry-optimized NdNpFe structure, as listed in the Alexandria database.

Calculated values
Fermi-level density of states	18.935	states/eV per cell
electronic total energy	-103.38	eV per cell
calculated formation energy	0.109	eV/atom

Cell and atoms, written as CIF:
```
data_NdNpFe
_space_group_name_H-M_alt 'P 1 21/c 1'
_space_group_IT_number 14
_space_group_name_Hall '-P 2ybc'
_cell_length_a 10.332
_cell_length_b 4.561
_cell_length_c 5.707
_cell_angle_alpha 90.00
_cell_angle_beta 97.56
_cell_angle_gamma 90.00
loop_
_atom_site_label
_atom_site_type_symbol
_atom_site_fract_x
_atom_site_fract_y
_atom_site_fract_z
Nd1 Nd 0.148 0.015 0.284
Np1 Np 0.439 0.107 0.654
Fe1 Fe 0.331 0.558 0.430
```

=====

- Fermi-level density of states of number 2 (NdFeSi3Ni)?
  14.389 states/eV per cell